Crystalline BeZn3Ga at its relaxed geometry. Source: Alexandria via LeMat-Bulk, functional PBE.

## Properties
* space group: No. 221
* polymorph energy (0 for the lowest one): 0.000 eV/atom

a b c (Å): 4.3860 4.3860 4.3860
angles (deg): 90.00 90.00 90.00
With the nearest neighbours (Å) after each atom.
Fractional positions:
Ga  0.5000  0.5000  0.5000  12 Zn 3.10
Zn  0.5000  0.0000  0.0000  2 Be 2.19
Zn  0.0000  0.5000  0.0000  2 Be 2.19
Zn  0.0000  0.0000  0.5000  2 Be 2.19
Be  0.0000  0.0000  0.0000  6 Zn 2.19

Crystalline Ho5ErTh2 at its relaxed geometry. Source: Alexandria via LeMat-Bulk, functional PBE.

## Properties
* space group: No. 71

a b c (Å): 3.5017 8.7746 8.7746
angles (deg): 78.62 78.49 78.49
With the nearest neighbours (Å) after each atom.
Fractional positions:
Ho  0.3698  0.8648  0.3955  3 Th 3.30-3.56, 7 Ho 3.42-3.62
Th  0.7420  0.7580  0.7580  7 Ho 3.30-3.56, 2 Th 3.50, 2 Er 3.63
Er  0.0000  0.0000  0.0000  2 Er 3.50, 4 Th 3.63, 8 Ho 3.83
Ho  0.0000  0.5000  0.5000  2 Th 3.38, 10 Ho 3.50-3.58
Th  0.2580  0.2420  0.2420  7 Ho 3.30-3.56, 2 Th 3.50, 2 Er 3.63
Ho  0.3698  0.3955  0.8648  3 Th 3.30-3.56, 7 Ho 3.42-3.62
Ho  0.6302  0.1352  0.6045  3 Th 3.30-3.56, 7 Ho 3.42-3.62
Ho  0.6302  0.6045  0.1352  3 Th 3.30-3.56, 7 Ho 3.42-3.62

Crystalline Li5Pu at its relaxed geometry. Source: Alexandria via LeMat-Bulk, functional PBE.

## Properties
* space group: No. 65

a b c (Å): 3.0487 5.3757 8.3974
angles (deg): 108.67 90.00 90.00
With the nearest neighbours (Å) after each atom.
Fractional positions:
Pu  0.0000  0.0000  0.0000  2 Pu 3.05, 8 Li 3.09-3.36
Li  0.0000  0.6515  0.3030  10 Li 2.85-3.14
Li  0.5000  0.1879  0.3758  8 Li 2.98-3.14
Li  0.5000  0.5000  0.0000  6 Li 2.85-3.05, 4 Pu 3.09
Li  0.0000  0.3485  0.6970  10 Li 2.85-3.14
Li  0.5000  0.8121  0.6242  8 Li 2.98-3.14

Crystalline BaTa2TiO8 at its relaxed geometry. Source: Alexandria via LeMat-Bulk, functional PBE.

## Properties
* raw formation energy: -34.64 eV per formula unit
* space group: No. 147

a b c (Å): 5.8298 5.8298 7.1761
angles (deg): 90.00 90.00 120.00
With the nearest neighbours (Å) after each atom.
Fractional positions:
O  0.3088  0.1561  0.3341  1 Ta 1.88, 1 Ti 1.96
Ba  0.0000  0.0000  0.0000  6 O 2.86
O  0.6912  0.8439  0.6659  1 Ta 1.88, 1 Ti 1.96
Ti  0.0000  0.0000  0.5000  6 O 1.96
Ta  0.6667  0.3333  0.2606  4 O 1.81-1.88
O  0.3333  0.6667  0.9914  1 Ta 1.81
O  0.8473  0.6912  0.3341  1 Ta 1.88, 1 Ti 1.96
Ta  0.3333  0.6667  0.7394  4 O 1.81-1.88
O  0.6667  0.3333  0.0086  1 Ta 1.81
O  0.1527  0.3088  0.6659  1 Ta 1.88, 1 Ti 1.96
O  0.8439  0.1527  0.3341  1 Ta 1.88, 1 Ti 1.96
O  0.1561  0.8473  0.6659  1 Ta 1.88, 1 Ti 1.96

Crystalline TcRu2Br at its relaxed geometry. Source: Alexandria via LeMat-Bulk, functional PBE.

## Properties
* raw formation energy: 2.91 eV per formula unit
* space group: No. 8
* polymorph energy (0 for the lowest one): 0.187 eV/atom

a b c (Å): 5.0983 5.0983 4.4302
angles (deg): 88.08 88.08 32.94
With the nearest neighbours (Å) after each atom.
Fractional positions:
Ru  0.9720  0.9720  0.0200  1 Br 2.48, 2 Tc 2.57
Br  0.7524  0.7524  0.7552  5 Ru 2.48-2.67, 1 Tc 2.53
Ru  0.2447  0.2447  0.2484  4 Br 2.62-2.67, 2 Tc 2.71, 5 Ru 2.81-2.89
Tc  0.5309  0.5309  0.4764  1 Br 2.53, 4 Ru 2.57-2.71

Crystalline MgCo3 at its relaxed geometry. Source: Alexandria via LeMat-Bulk, functional PBE.

## Properties
* space group: No. 223

a b c (Å): 4.6412 4.6412 4.6412
angles (deg): 90.00 90.00 90.00
With the nearest neighbours (Å) after each atom.
Fractional positions:
Co  0.0000  0.7500  0.5000  2 Co 2.32, 4 Mg 2.59
Mg  0.0000  0.0000  0.0000  12 Co 2.59
Co  0.7500  0.5000  0.0000  2 Co 2.32, 4 Mg 2.59
Co  0.0000  0.2500  0.5000  2 Co 2.32, 4 Mg 2.59
Co  0.5000  0.0000  0.2500  2 Co 2.32, 4 Mg 2.59
Mg  0.5000  0.5000  0.5000  12 Co 2.59
Co  0.5000  0.0000  0.7500  2 Co 2.32, 4 Mg 2.59
Co  0.2500  0.5000  0.0000  2 Co 2.32, 4 Mg 2.59

Crystalline Na2TmMnS4 at its relaxed geometry. Source: Alexandria via LeMat-Bulk, functional PBE.

## Properties
* raw formation energy: -10.31 eV per formula unit
* space group: No. 10

a b c (Å): 3.8187 6.4651 6.9967
angles (deg): 107.96 90.00 90.00
With the nearest neighbours (Å) after each atom.
Fractional positions:
Na  0.5000  0.0000  0.5000  6 S 2.94-2.99
Tm  0.0000  0.0000  0.0000  6 S 2.66-2.69
S  0.0000  0.2768  0.7865  2 Mn 2.57, 1 Tm 2.66, 1 Na 2.81
Na  0.0000  0.5000  0.5000  6 S 2.81-2.84
S  0.5000  0.2628  0.2149  1 Mn 2.46, 2 Tm 2.69
Mn  0.5000  0.5000  0.0000  6 S 2.46-2.57
S  0.5000  0.7372  0.7851  1 Mn 2.46, 2 Tm 2.69
S  0.0000  0.7232  0.2135  2 Mn 2.57, 1 Tm 2.66, 1 Na 2.81

Crystalline TmAsI at its relaxed geometry. Source: Alexandria via LeMat-Bulk, functional PBE.

## Properties
* raw formation energy: -2.18 eV per formula unit
* space group: No. 107

a b c (Å): 3.8607 3.8607 6.2349
angles (deg): 108.04 108.04 90.00
With the nearest neighbours (Å) after each atom.
Fractional positions:
As  0.2848  0.2848  0.5696  4 Tm 2.87, 1 I 3.10
I  0.0083  0.0083  0.0165  1 As 3.10, 1 Tm 3.38
Tm  0.7069  0.7069  0.4139  4 As 2.87

| no. | E_tot (eV per atom) |
| --- | --- |
| 1 | -1.843 |
| 2 | -5.188 |
| 3 | -3.799 |
| 4 | -8.986 |
| 5 | -6.921 |
| 6 | -5.507 |
| 7 | -5.387 |
| 8 | -4.284 |